# SrMgBi3 (PBE, relaxed)
data_SrMgBi3
_chemical_formula_sum 'Sr1 Mg1 Bi3'
_cell_length_a 5.614
_cell_length_b 5.614
_cell_length_c 5.614
_cell_angle_alpha 90.00
_cell_angle_beta 90.00
_cell_angle_gamma 90.00
_symmetry_space_group_name_H-M 'P m -3 m'
_symmetry_Int_Tables_number 221
_symmetry_space_group_name_Hall '-P 4 2 3'
loop_
_atom_site_label
_atom_site_type_symbol
_atom_site_fract_x
_atom_site_fract_y
_atom_site_fract_z
Sr1 Sr 0.000 0.000 0.000
Mg1 Mg 0.500 0.500 0.500
Bi1 Bi 0.000 0.500 0.500
# **Energy relative to the lowest polymorph listed for this composition**: 307 meV/atom
# **Formation energy from the elements**: -0.079 eV/atom
# **N(E_F)**: 0.80 states/eV/atom
# **E**: -15.315 eV/f.u.